Density functional theory data (PBE) for a relaxed structure of NaCaWCl2.

a = 4.9509 Å, b = 4.9509 Å, c = 6.2216 Å
α = 90.00°, β = 90.00°, γ = 90.00°
Element x y z (fractional)
1 Na 0.0000 0.0000 0.0000
2 Ca 0.0000 0.0000 0.5000
3 W 0.5000 0.5000 0.5000
4 Cl 0.0000 0.5000 0.0000
5 Cl 0.5000 0.0000 0.0000

## Properties
* space-group type: P4/mmm, No. 123

Density functional theory data (PBE) for a relaxed structure of NaCaYCl6.

a = 6.9858 Å, b = 6.9858 Å, c = 12.4238 Å
α = 90.00°, β = 90.00°, γ = 120.00°
Element x y z (fractional)
1 Na 0.0000 0.0000 0.0000
2 Na 0.0000 0.0000 0.5000
3 Ca 0.3333 0.6667 0.2500
4 Ca 0.6667 0.3333 0.7500
5 Y 0.3333 0.6667 0.7500
6 Y 0.6667 0.3333 0.2500
7 Cl 0.0105 0.3573 0.6307
8 Cl 0.0105 0.6532 0.8693
9 Cl 0.3468 0.3573 0.8693
10 Cl 0.3468 0.9895 0.6307
11 Cl 0.3573 0.0105 0.1307
12 Cl 0.3573 0.3468 0.3693
13 Cl 0.6427 0.6532 0.6307
14 Cl 0.6427 0.9895 0.8693
15 Cl 0.6532 0.0105 0.3693
16 Cl 0.6532 0.6427 0.1307
17 Cl 0.9895 0.3468 0.1307
18 Cl 0.9895 0.6427 0.3693

## Properties
* space-group type: P-31c, No. 163

Density functional theory data (PBE) for a relaxed structure of CaNbCl3.

a = 5.2832 Å, b = 5.2832 Å, c = 5.2832 Å
α = 90.00°, β = 90.00°, γ = 90.00°
Element x y z (fractional)
1 Ca 0.0000 0.0000 0.0000
2 Nb 0.5000 0.5000 0.5000
3 Cl 0.0000 0.0000 0.5000
4 Cl 0.0000 0.5000 0.0000
5 Cl 0.5000 0.0000 0.0000

## Properties
* space-group type: Pm-3m, No. 221
* energy above the lowest structure with this stoichiometry: 0.1257 eV per atom

Density functional theory data (PBE) for a relaxed structure of Ca2NbCl.

a = 6.8988 Å, b = 6.8988 Å, c = 6.8988 Å
α = 108.06°, β = 108.06°, γ = 112.33°
Element x y z (fractional)
1 Ca 0.0733 0.1250 0.4483
2 Ca 0.3750 0.9267 0.0517
3 Ca 0.6767 0.6250 0.5517
4 Ca 0.8750 0.3233 0.9483
5 Nb 0.2500 0.7500 0.5000
6 Nb 0.5000 0.5000 0.0000
7 Cl 0.0000 0.0000 0.0000
8 Cl 0.7500 0.2500 0.5000

## Properties
* space-group type: I-42d, No. 122
* energy above the lowest structure with this stoichiometry: 0.0000 eV per atom

Density functional theory data (PBE) for a relaxed structure of Ca2NbCl.

a = 5.5091 Å, b = 5.5091 Å, c = 5.5091 Å
α = 60.00°, β = 60.00°, γ = 60.00°
Element x y z (fractional)
1 Ca 0.2500 0.2500 0.2500
2 Ca 0.7500 0.7500 0.7500
3 Nb 0.0000 0.0000 0.0000
4 Cl 0.5000 0.5000 0.5000

## Properties
* space-group type: Fm-3m, No. 225
* energy above the lowest structure with this stoichiometry: 0.1778 eV per atom

Density functional theory data (PBE) for a relaxed structure of Ca2NbCl4.

a = 7.9246 Å, b = 7.9246 Å, c = 7.9246 Å
α = 143.80°, β = 143.80°, γ = 52.12°
Element x y z (fractional)
1 Ca 0.1240 0.1240 0.0000
2 Ca 0.8760 0.8760 0.0000
3 Nb 0.5000 0.5000 0.0000
4 Cl 0.0000 0.5000 0.5000
5 Cl 0.3133 0.3133 0.0000
6 Cl 0.5000 0.0000 0.5000
7 Cl 0.6867 0.6867 0.0000

## Properties
* space-group type: I4/mmm, No. 139

Density functional theory data (PBE) for a relaxed structure of Ca3NbCl.

a = 5.6764 Å, b = 5.6764 Å, c = 5.6764 Å
α = 90.00°, β = 90.00°, γ = 90.00°
Element x y z (fractional)
1 Ca 0.0000 0.0000 0.5000
2 Ca 0.0000 0.5000 0.0000
3 Ca 0.5000 0.0000 0.0000
4 Nb 0.0000 0.0000 0.0000
5 Cl 0.5000 0.5000 0.5000

## Properties
* space-group type: Pm-3m, No. 221
* energy above the lowest structure with this stoichiometry: 0.5412 eV per atom

Density functional theory data (PBE) for a relaxed structure of CaNb2Cl.

a = 13.7164 Å, b = 13.7164 Å, c = 13.7164 Å
α = 164.13°, β = 164.13°, γ = 22.51°
Element x y z (fractional)
1 Ca 0.0000 0.0000 0.0000
2 Ca 0.7500 0.2500 0.5000
3 Nb 0.1139 0.1250 0.4889
4 Nb 0.3750 0.8861 0.0111
5 Nb 0.6361 0.6250 0.5111
6 Nb 0.8750 0.3639 0.9889
7 Cl 0.2500 0.7500 0.5000
8 Cl 0.5000 0.5000 0.0000

## Properties
* space-group type: I-42d, No. 122
* energy above the lowest structure with this stoichiometry: 0.0000 eV per atom

Density functional theory data (PBE) for a relaxed structure of CaNbCl3.

a = 5.0560 Å, b = 5.0560 Å, c = 5.0560 Å
α = 90.00°, β = 90.00°, γ = 90.00°
Element x y z (fractional)
1 Ca 0.0000 0.0000 0.0000
2 Nb 0.5000 0.5000 0.5000
3 Cl 0.0000 0.5000 0.5000
4 Cl 0.5000 0.0000 0.5000
5 Cl 0.5000 0.5000 0.0000

## Properties
* space-group type: Pm-3m, No. 221
* energy above the lowest structure with this stoichiometry: 0.0000 eV per atom

Density functional theory data (PBE) for a relaxed structure of CaNb2Cl.

a = 4.9414 Å, b = 4.9414 Å, c = 4.9414 Å
α = 60.00°, β = 60.00°, γ = 60.00°
Element x y z (fractional)
1 Ca 0.0000 0.0000 0.0000
2 Nb 0.2500 0.2500 0.2500
3 Nb 0.7500 0.7500 0.7500
4 Cl 0.5000 0.5000 0.5000

## Properties
* space-group type: Fm-3m, No. 225
* energy above the lowest structure with this stoichiometry: 1.1826 eV per atom

Density functional theory data (PBE) for a relaxed structure of CaNb2Cl2.

a = 6.7969 Å, b = 6.7969 Å, c = 6.7969 Å
α = 144.44°, β = 144.44°, γ = 51.17°
Element x y z (fractional)
1 Ca 0.0000 0.0000 0.0000
2 Nb 0.2500 0.7500 0.5000
3 Nb 0.7500 0.2500 0.5000
4 Cl 0.3750 0.3750 0.0000
5 Cl 0.6250 0.6250 0.0000

## Properties
* space-group type: I4/mmm, No. 139
* energy above the lowest structure with this stoichiometry: 0.0000 eV per atom

Density functional theory data (PBE) for a relaxed structure of CaNb2Cl2.

a = 7.8786 Å, b = 7.8786 Å, c = 3.0973 Å
α = 90.00°, β = 90.00°, γ = 90.00°
Element x y z (fractional)
1 Ca 0.0000 0.0000 0.0000
2 Ca 0.5000 0.5000 0.0000
3 Nb 0.1839 0.3161 0.5000
4 Nb 0.3161 0.8161 0.5000
5 Nb 0.6839 0.1839 0.5000
6 Nb 0.8161 0.6839 0.5000
7 Cl 0.1332 0.6332 0.0000
8 Cl 0.3668 0.1332 0.0000
9 Cl 0.6332 0.8668 0.0000
10 Cl 0.8668 0.3668 0.0000

## Properties
* space-group type: P4/mbm, No. 127
* energy above the lowest structure with this stoichiometry: 0.4430 eV per atom

What did we get for total DFT energy (no corrections)? Answer: -3.4324; -4.5400; -4.1445; -3.8196; -3.6418; -4.0835; -2.9955; -5.9171; -4.2702; -4.7346; -5.2569; -4.8139 eV/atom, in the order shown.
What did we get for raw formation energy? Answer: 0.56; -2.22; -0.62; 0.16; 0.34; -1.02; 0.59; 0.08; -0.75; 1.26; -0.09; 0.35 eV per atom, in the order shown.